Cs2TlInBr4 | PBE-GGA | optimized geometry

Calculated values
Space group   P2/m, No. 10
Uncorrected formation energy   -1.260 eV/atom

```
Cs2TlInBr4
1.0
-3.643 -3.354 -0.680
5.590 -5.292 -3.848
3.648 -5.156 5.890
In Br Tl Cs
1 4 1 2
direct
0.500 0.500 0.000
0.500 0.272 0.743
0.500 0.728 0.257
0.000 0.274 0.240
0.000 0.726 0.760
0.000 0.500 0.500
0.500 0.000 0.500
0.000 0.000 0.000
```

LiCa2Cr | PBE-GGA | optimized geometry

Calculated values
Space group   Cm, No. 8
Energy of formation   0.362 eV per atom

```
LiCa2Cr
1.0
6.395 -0.256 0.330
5.372 3.479 0.330
1.976 0.541 4.964
Ca Li Cr
2 1 1
direct
0.986 0.986 0.016
0.772 0.772 0.725
0.216 0.216 0.281
0.525 0.525 0.478
```

KBi12Au7 | PBE-GGA | optimized geometry

Calculated values
Space group   R-3, No. 148
Energy of formation   -0.038 eV per atom

```
KBi12Au7
1.0
7.505 0.000 2.400
-3.902 7.965 3.580
-0.300 0.000 9.560
Bi Au K
12 7 1
direct
0.801 0.512 0.165
0.966 0.165 0.323
0.199 0.488 0.835
0.426 0.284 0.072
0.034 0.835 0.677
0.498 0.072 0.643
0.289 0.323 0.512
0.141 0.643 0.284
0.574 0.716 0.928
0.711 0.677 0.488
0.859 0.357 0.716
0.502 0.928 0.357
0.500 0.000 0.000
0.131 0.929 0.315
0.869 0.071 0.685
0.798 0.244 0.071
0.202 0.756 0.929
0.554 0.685 0.244
0.446 0.315 0.756
0.000 0.000 0.000
```

PuAlNi2H8 | PBE-GGA | optimized geometry

Calculated values
Space group   R-3, No. 148
VASP energy   -4.769 eV per atom

```
PuAlNi2H8
1.0
-3.754 1.458 1.694
-1.757 -2.003 3.463
1.130 3.341 5.262
Ni H Pu Al
2 8 1 1
direct
0.273 0.273 0.182
0.727 0.727 0.818
0.372 0.721 0.812
0.818 0.818 0.547
0.095 0.372 0.812
0.279 0.905 0.188
0.628 0.279 0.188
0.182 0.182 0.453
0.721 0.095 0.812
0.905 0.628 0.188
0.500 0.500 0.500
0.000 0.000 0.000
```

BaTcOs | PBE-GGA | optimized geometry

Calculated values
Space group   P1, No. 1
Energy of formation   0.469 eV per atom
Energy above the lowest structure with this stoichiometry   102.8 meV/atom

```
BaTcOs
1.0
4.046 0.000 -0.001
-2.011 5.982 0.001
-1.980 -0.886 6.435
Tc Os Ba
2 2 2
direct
0.711 0.325 0.247
0.025 0.758 0.448
0.119 0.106 0.284
0.426 0.537 0.473
0.286 0.714 0.003
0.860 0.159 0.723
```

SrCdN | PBE-GGA | optimized geometry

Calculated values
Space group   P4/nmm, No. 129
Uncorrected formation energy   -0.284 eV/atom
Energy above the lowest structure with this stoichiometry   0.0 meV/atom

```
SrCdN
1.0
3.772 0.000 0.000
0.000 3.772 0.000
0.000 0.000 8.743
Cd N Sr
2 2 2
direct
0.000 0.500 0.093
0.500 0.000 0.907
0.500 0.000 0.659
0.000 0.500 0.341
0.500 0.000 0.357
0.000 0.500 0.643
```

NaAg5Ge2 | PBE-GGA | optimized geometry

Calculated values
Space group   Immm, No. 71
Energy of formation   0.069 eV per atom

```
NaAg5Ge2
1.0
-4.128 -1.037 0.150
-0.839 -4.746 4.591
-2.678 2.704 5.461
Ge Ag Na
2 5 1
direct
0.264 0.236 0.236
0.736 0.764 0.764
0.351 0.464 0.835
0.649 0.536 0.165
0.351 0.835 0.464
0.000 0.500 0.500
0.649 0.165 0.536
0.000 0.000 0.000
```

MoAsAu2 | PBE-GGA | optimized geometry

Calculated values
Space group   Cm, No. 8
Energy of formation   0.243 eV per atom

```
MoAsAu2
1.0
-1.682 3.122 -3.175
0.424 1.611 -4.458
-3.708 -3.501 -1.964
Mo Au As
1 2 1
direct
0.488 0.488 0.463
0.026 0.026 0.973
0.768 0.768 0.749
0.218 0.218 0.315
```

Re4TcPb | PBE-GGA | optimized geometry

Calculated values
Space group   F-43m, No. 216
Energy of formation   0.781 eV per atom

```
Re4TcPb
1.0
0.000 3.709 3.709
3.709 0.000 3.709
3.709 3.709 0.000
Tc Re Pb
1 4 1
direct
0.250 0.250 0.250
0.625 0.625 0.625
0.625 0.625 0.125
0.125 0.625 0.625
0.625 0.125 0.625
0.000 0.000 0.000
```

La2SmGe3Pd4 | PBE-GGA | optimized geometry

Calculated values
Space group   P-4m2, No. 115
Energy of formation   -0.853 eV per atom

```
La2SmGe3Pd4
1.0
-3.752 -1.950 1.074
1.820 -3.899 -0.720
3.321 -0.443 10.800
Pd La Ge Sm
4 2 3 1
direct
0.000 0.000 0.000
0.500 0.500 0.000
0.500 0.000 0.661
0.000 0.500 0.339
0.500 0.000 0.222
0.000 0.500 0.778
0.000 0.500 0.118
0.000 0.000 0.500
0.500 0.000 0.882
0.500 0.500 0.500
```

CsCu2Ag2Br7 | PBE-GGA | optimized geometry

Calculated values
Space group   R32, No. 155
Uncorrected formation energy   -0.501 eV/atom

```
CsCu2Ag2Br7
1.0
-0.068 -0.686 -7.254
-6.145 -1.904 -3.422
-4.987 10.415 -4.598
Br Ag Cs Cu
7 2 1 2
direct
0.759 0.395 0.739
0.395 0.107 0.739
0.893 0.605 0.261
0.605 0.241 0.261
0.107 0.759 0.739
0.000 0.000 0.000
0.241 0.893 0.261
0.749 0.749 0.753
0.251 0.251 0.247
0.500 0.500 0.500
0.069 0.069 0.794
0.931 0.931 0.206
```

TaCo2Pb | PBE-GGA | optimized geometry

Calculated values
Space group   C2/m, No. 12
Energy of formation   0.325 eV per atom

```
TaCo2Pb
1.0
-1.787 2.319 -3.283
0.609 0.570 -4.319
-3.398 -3.491 -1.966
Pb Co Ta
1 2 1
direct
0.750 0.750 0.750
0.515 0.515 0.439
0.985 0.985 0.061
0.250 0.250 0.250
```

In order of appearance, magnetization = 0.00 4.80 0.00 5.61 0.00 0.00 0.00 0.00 0.00 0.00 1.77 1.01 μB per formula unit.